Al2Hg: relaxed, GGA-PBE.

Output
ΔH_f (0 K): 23 kJ/mol of atoms
Total magnetic moment: 0.00 μB per formula unit
Fermi-level density of states: 3.0 states/eV/cell
Energy above the lowest structure with this stoichiometry: 130 meV per atom
Crystal system: hexagonal

abc: 5.034 5.034 5.520
angles: 90.00 90.00 120.00
Element x y z (fractional)
Al: 0.000 0.000 0.000
Al: 0.000 0.000 0.500
Al: 0.333 0.667 0.250
Al: 0.667 0.333 0.750
Hg: 0.333 0.667 0.750
Hg: 0.667 0.333 0.250